1.
# MgTe2RuI (PBE, relaxed)
data_MgTe2RuI
_chemical_formula_sum 'Mg1 Te2 Ru1 I1'
_cell_length_a 5.193
_cell_length_b 5.193
_cell_length_c 5.625
_cell_angle_alpha 90.00
_cell_angle_beta 90.00
_cell_angle_gamma 90.00
_space_group_name_H-M_alt 'P 4/m m m'
_space_group_IT_number 123
_space_group_name_Hall '-P 4 2'
loop_
_atom_site_label
_atom_site_type_symbol
_atom_site_fract_x
_atom_site_fract_y
_atom_site_fract_z
Mg1 Mg 0.000 0.000 0.000
Te1 Te 0.000 0.500 0.500
Ru1 Ru 0.500 0.500 0.500
I1 I 0.500 0.500 0.000
# - Electronic total energy: -3.45 eV/atom
# - Fermi-level density of states: 6.6 states/eV/cell
# - Energy relative to the lowest polymorph listed for this composition: 0 meV per atom
# - M_tot: 0.00 μB per formula unit
# - Energy relative to the elements, uncorrected: 288 meV/atom
# - Calculated volume: 151.7 Å³/cell

=====

2.
# ZrIrCl (PBE, relaxed)
data_ZrIrCl
_chemical_formula_sum 'Zr2 Ir2 Cl2'
_cell_length_a 3.891
_cell_length_b 3.891
_cell_length_c 7.916
_cell_angle_alpha 90.00
_cell_angle_beta 90.00
_cell_angle_gamma 90.00
_space_group_name_H-M_alt 'P 4/n m m'
_space_group_IT_number 129
loop_
_space_group_symop_operation_xyz
'x,y,z'
'-x,-y,-z'
'-y+1/2,x,z'
'y+1/2,-x,-z'
'-x+1/2,-y+1/2,z'
'x+1/2,y+1/2,-z'
'y,-x+1/2,z'
'-y,x+1/2,-z'
'x+1/2,-y,-z'
'-x+1/2,y,z'
'-y,-x,-z'
'y,x,z'
'-x,y+1/2,-z'
'x,-y+1/2,z'
'y+1/2,x+1/2,-z'
'-y+1/2,-x+1/2,z'
loop_
_atom_site_label
_atom_site_type_symbol
_atom_site_fract_x
_atom_site_fract_y
_atom_site_fract_z
Zr1 Zr 0.250 0.250 0.232
Ir1 Ir 0.250 0.750 0.000
Cl1 Cl 0.250 0.250 0.605
# - Electronic total energy: -7.36 eV/atom
# - Fermi-level density of states: 1.5 states/eV/cell
# - Energy relative to the lowest polymorph listed for this composition: 102 meV per atom
# - M_tot: 0.00 μB per formula unit
# - Energy relative to the elements, uncorrected: -942 meV/atom
# - Calculated volume: 119.9 Å³/cell